# 1
A plane-wave DFT calculation with PBE was carried out for an optimized crystal structure of NdCd2Pb.

Computed properties:
Uncorrected energy in eV per atom: -2.212
Density of states at the Fermi level in states/eV per cell: 4.41
Spin magnetization in μB/f.u.: 0.00
Polymorph energy (0 for the lowest one) in meV/atom: 738.0
Energy of formation in eV per atom: 0.36
Space group: P-6m2

a b c (Å): 5.899 5.299 5.299
angles (deg): 60.00 90.00 90.00
Fractional positions:
Nd  0.000  0.000  0.000
Cd  0.500  0.000  0.000
Cd  0.500  0.333  0.333
Pb  0.500  0.667  0.667



# 2
A plane-wave DFT calculation with PBE was carried out for an optimized crystal structure of Nd6CdPb5.

Computed properties:
Uncorrected energy in eV per atom: -4.492
Density of states at the Fermi level in states/eV per cell: 10.23
Spin magnetization in μB/f.u.: 0.00
Energy of formation in eV per atom: -0.49
Space group: Cmmm

a b c (Å): 5.154 8.993 8.182
angles (deg): 90.00 71.64 90.01
Fractional positions:
Pb  0.668  0.500  0.664
Pb  0.339  0.000  0.321
Pb  0.000  0.500  0.000
Pb  0.661  0.000  0.679
Pb  0.332  0.500  0.336
Nd  0.833  0.755  0.334
Nd  0.833  0.245  0.334
Nd  0.500  0.249  0.000
Nd  0.500  0.751  0.000
Nd  0.167  0.755  0.666
Nd  0.167  0.245  0.666
Cd  0.000  0.000  0.000



# 3
A plane-wave DFT calculation with PBE was carried out for an optimized crystal structure of Nd2Cd6Pb.

Computed properties:
Uncorrected energy in eV per atom: -2.309
Density of states at the Fermi level in states/eV per cell: 6.30
Spin magnetization in μB/f.u.: 0.01
Energy of formation in eV per atom: -0.23
Space group: P6/mmm

a b c (Å): 3.507 8.811 8.811
angles (deg): 120.00 90.00 90.00
Fractional positions:
Nd  0.000  0.333  0.667
Nd  0.000  0.667  0.333
Cd  0.500  0.332  0.332
Cd  0.500  0.668  0.668
Cd  0.500  0.000  0.668
Cd  0.500  0.668  0.000
Cd  0.500  0.332  0.000
Cd  0.500  0.000  0.332
Pb  0.000  0.000  0.000